1.
Density functional theory data (PBE-GGA) for crystalline YPt2F at its relaxed geometry.

Cell lengths 3.683, 3.683, 21.064 Å; angles 90.00, 90.00, 90.00 degrees
Space group I-42d (No. 122)
One atom of each set of equivalent atoms:
Y1 0.000 0.000 0.000 (multiplicity 4)
Pt1 0.247 0.250 0.625 (multiplicity 8)
F1 0.000 0.000 0.500 (multiplicity 4)

Computed properties:
DOS at the Fermi energy: 10.18 states/eV/cell
formation energy from raw total energies: -129.9 kJ per mole of atoms
final energy: -103.21 eV for the cell shown
distance to the lowest polymorph of the same formula: 0.0000 eV per atom

***

2.
Density functional theory data (PBE-GGA) for crystalline YPtF7 at its relaxed geometry.

Cell lengths 8.906, 5.547, 12.011 Å; angles 90.00, 117.57, 90.00 degrees
Space group P2_1/c (No. 14)
One atom of each set of equivalent atoms:
Y1 0.186 0.239 0.265 (multiplicity 4)
Pt1 0.273 0.742 0.043 (multiplicity 4)
F1 0.024 0.745 0.950 (multiplicity 4)
F2 0.031 0.587 0.732 (multiplicity 4)
F3 0.254 0.553 0.176 (multiplicity 4)
F4 0.275 0.036 0.135 (multiplicity 4)
F5 0.279 0.060 0.458 (multiplicity 4)
F6 0.297 0.564 0.416 (multiplicity 4)
F7 0.479 0.227 0.358 (multiplicity 4)

Computed properties:
DOS at the Fermi energy: 0.00 states/eV/cell
formation energy from raw total energies: -248.3 kJ per mole of atoms
final energy: -195.06 eV for the cell shown

***

3.
Density functional theory data (PBE-GGA) for crystalline YPt2F at its relaxed geometry.

Cell lengths 6.573, 6.573, 6.573 Å; angles 90.00, 90.00, 90.00 degrees
Space group Fm-3m (No. 225)
One atom of each set of equivalent atoms:
Y1 0.000 0.000 0.000 (multiplicity 4)
Pt1 0.250 0.250 0.250 (multiplicity 8)
F1 0.000 0.000 0.500 (multiplicity 4)

Computed properties:
DOS at the Fermi energy: 5.89 states/eV/cell
formation energy from raw total energies: -69.0 kJ per mole of atoms
final energy: -93.11 eV for the cell shown
distance to the lowest polymorph of the same formula: 0.6313 eV per atom

***

4.
Density functional theory data (PBE-GGA) for crystalline ZnPt2F at its relaxed geometry.

Cell lengths 6.060, 6.060, 6.060 Å; angles 90.00, 90.00, 90.00 degrees
Space group Fm-3m (No. 225)
One atom of each set of equivalent atoms:
Zn1 0.000 0.000 0.000 (multiplicity 4)
Pt1 0.250 0.250 0.250 (multiplicity 8)
F1 0.000 0.000 0.500 (multiplicity 4)

Computed properties:
DOS at the Fermi energy: 10.10 states/eV/cell
formation energy from raw total energies: -18.7 kJ per mole of atoms
final energy: -64.01 eV for the cell shown
distance to the lowest polymorph of the same formula: 0.0757 eV per atom

***

5.
Density functional theory data (PBE-GGA) for crystalline ZnPtF2 at its relaxed geometry.

Cell lengths 5.903, 5.903, 5.903 Å; angles 90.00, 90.00, 90.00 degrees
Space group Fm-3m (No. 225)
One atom of each set of equivalent atoms:
Zn1 0.000 0.000 0.000 (multiplicity 4)
Pt1 0.000 0.000 0.500 (multiplicity 4)
F1 0.250 0.250 0.250 (multiplicity 8)

Computed properties:
DOS at the Fermi energy: 12.67 states/eV/cell
formation energy from raw total energies: -42.2 kJ per mole of atoms
final energy: -51.23 eV for the cell shown
distance to the lowest polymorph of the same formula: 0.5097 eV per atom

***

6.
Density functional theory data (PBE-GGA) for crystalline ZnPtF5 at its relaxed geometry.

Cell lengths 8.294, 6.777, 8.270 Å; angles 90.00, 114.00, 90.00 degrees
Space group C2/c (No. 15)
One atom of each set of equivalent atoms:
Zn1 0.000 0.095 0.250 (multiplicity 4)
Pt1 0.250 0.250 0.000 (multiplicity 4)
F1 0.000 0.216 0.750 (multiplicity 4)
F2 0.115 0.288 0.151 (multiplicity 8)
F3 0.200 0.039 0.488 (multiplicity 8)

Computed properties:
formation energy from raw total energies: -156.7 kJ per mole of atoms
final energy: -112.15 eV for the cell shown

***

7.
Density functional theory data (PBE-GGA) for crystalline Zn3PtF at its relaxed geometry.

Cell lengths 4.189, 4.189, 4.189 Å; angles 90.00, 90.00, 90.00 degrees
Space group Pm-3m (No. 221)
One atom of each set of equivalent atoms:
Zn1 0.000 0.000 0.500 (multiplicity 3)
Pt1 0.500 0.500 0.500 (multiplicity 1)
F1 0.000 0.000 0.000 (multiplicity 1)

Computed properties:
DOS at the Fermi energy: 0.92 states/eV/cell
formation energy from raw total energies: -36.0 kJ per mole of atoms
final energy: -13.60 eV for the cell shown
distance to the lowest polymorph of the same formula: 0.0000 eV per atom

***

8.
Density functional theory data (PBE-GGA) for crystalline ZnPtF2 at its relaxed geometry.

Cell lengths 2.7509, 2.7509, 22.5328 Å; angles 90.00, 90.00, 120.00 degrees
Space group R-3m (No. 166, hexagonal axes)
One atom of each set of equivalent atoms:
Zn1 0.0000 0.0000 0.0000 (multiplicity 3)
Pt1 0.0000 0.0000 0.5000 (multiplicity 3)
F1 0.0000 0.0000 0.4101 (multiplicity 6)

Computed properties:
DOS at the Fermi energy: 3.39 states/eV/cell
formation energy from raw total energies: -91.4 kJ per mole of atoms
final energy: -44.54 eV for the cell shown
distance to the lowest polymorph of the same formula: 0.0000 eV per atom

***

9.
Density functional theory data (PBE-GGA) for crystalline Zn3PtF at its relaxed geometry.

Cell lengths 4.836, 4.836, 4.836 Å; angles 90.00, 90.00, 90.00 degrees
Space group Pm-3m (No. 221)
One atom of each set of equivalent atoms:
Zn1 0.000 0.000 0.500 (multiplicity 3)
Pt1 0.000 0.000 0.000 (multiplicity 1)
F1 0.500 0.500 0.500 (multiplicity 1)

Computed properties:
DOS at the Fermi energy: 1.22 states/eV/cell
formation energy from raw total energies: -33.7 kJ per mole of atoms
final energy: -13.48 eV for the cell shown
distance to the lowest polymorph of the same formula: 0.0242 eV per atom

***

10.
Density functional theory data (PBE-GGA) for crystalline ZnPtF6 at its relaxed geometry.

Cell lengths 5.0278, 5.0278, 9.4316 Å; angles 90.00, 90.00, 120.00 degrees
Space group P-31c (No. 163)
One atom of each set of equivalent atoms:
Zn1 0.3333 0.6667 0.2500 (multiplicity 2)
Pt1 0.0000 0.0000 0.0000 (multiplicity 2)
F1 0.0113 0.3252 0.1221 (multiplicity 12)

Computed properties:
DOS at the Fermi energy: 0.00 states/eV/cell
formation energy from raw total energies: -164.4 kJ per mole of atoms
final energy: -64.35 eV for the cell shown

***

11.
Density functional theory data (PBE-GGA) for crystalline ZnPt3F at its relaxed geometry.

Cell lengths 4.369, 4.369, 4.369 Å; angles 90.00, 90.00, 90.00 degrees
Space group Pm-3m (No. 221)
One atom of each set of equivalent atoms:
Zn1 0.000 0.000 0.000 (multiplicity 1)
Pt1 0.000 0.500 0.500 (multiplicity 3)
F1 0.500 0.500 0.500 (multiplicity 1)

Computed properties:
DOS at the Fermi energy: 8.76 states/eV/cell
formation energy from raw total energies: 64.1 kJ per mole of atoms
final energy: -17.95 eV for the cell shown
distance to the lowest polymorph of the same formula: 0.0000 eV per atom

***

12.
Density functional theory data (PBE-GGA) for crystalline ZnPt2F at its relaxed geometry.

Cell lengths 3.685, 3.685, 18.583 Å; angles 90.00, 90.00, 90.00 degrees
Space group I-42d (No. 122)
One atom of each set of equivalent atoms:
Zn1 0.000 0.000 0.000 (multiplicity 4)
Pt1 0.250 0.250 0.125 (multiplicity 8)
F1 0.000 0.000 0.500 (multiplicity 4)

Computed properties:
DOS at the Fermi energy: 13.10 states/eV/cell
formation energy from raw total energies: -26.0 kJ per mole of atoms
final energy: -65.22 eV for the cell shown
distance to the lowest polymorph of the same formula: 0.0000 eV per atom

***

13.
Density functional theory data (PBE-GGA) for crystalline ZnPt3F at its relaxed geometry.

Cell lengths 4.665, 4.665, 4.665 Å; angles 90.00, 90.00, 90.00 degrees
Space group Pm-3m (No. 221)
One atom of each set of equivalent atoms:
Zn1 0.000 0.000 0.000 (multiplicity 1)
Pt1 0.000 0.000 0.500 (multiplicity 3)
F1 0.500 0.500 0.500 (multiplicity 1)

Computed properties:
DOS at the Fermi energy: 4.47 states/eV/cell
formation energy from raw total energies: 92.9 kJ per mole of atoms
final energy: -16.45 eV for the cell shown
distance to the lowest polymorph of the same formula: 0.2993 eV per atom

***

14.
Density functional theory data (PBE-GGA) for crystalline ZnPtF2 at its relaxed geometry.

Cell lengths 5.641, 5.641, 7.360 Å; angles 90.00, 90.00, 90.00 degrees
Space group I-42d (No. 122)
One atom of each set of equivalent atoms:
Zn1 0.000 0.000 0.000 (multiplicity 4)
Pt1 0.000 0.000 0.500 (multiplicity 4)
F1 0.163 0.250 0.125 (multiplicity 8)

Computed properties:
DOS at the Fermi energy: 14.98 states/eV/cell
formation energy from raw total energies: -60.4 kJ per mole of atoms
final energy: -54.24 eV for the cell shown
distance to the lowest polymorph of the same formula: 0.3217 eV per atom

***

15.
Density functional theory data (PBE-GGA) for crystalline ZrPtF at its relaxed geometry.

Cell lengths 3.488, 3.488, 7.436 Å; angles 90.00, 90.00, 90.00 degrees
Space group P4/nmm (No. 129, origin choice 2)
One atom of each set of equivalent atoms:
Zr1 0.250 0.250 0.217 (multiplicity 2)
Pt1 0.250 0.250 0.608 (multiplicity 2)
F1 0.250 0.750 0.000 (multiplicity 2)

Computed properties:
DOS at the Fermi energy: 4.38 states/eV/cell
formation energy from raw total energies: -198.3 kJ per mole of atoms
final energy: -45.25 eV for the cell shown
distance to the lowest polymorph of the same formula: 0.0000 eV per atom

***

16.
Density functional theory data (PBE-GGA) for crystalline ZrPtF2 at its relaxed geometry.

Cell lengths 2.7968, 2.7968, 27.0073 Å; angles 90.00, 90.00, 120.00 degrees
Space group R-3m (No. 166, hexagonal axes)
One atom of each set of equivalent atoms:
Zr1 0.0000 0.0000 0.0000 (multiplicity 3)
Pt1 0.0000 0.0000 0.5000 (multiplicity 3)
F1 0.0000 0.0000 0.3898 (multiplicity 6)

Computed properties:
DOS at the Fermi energy: 9.69 states/eV/cell
formation energy from raw total energies: -157.1 kJ per mole of atoms
final energy: -74.53 eV for the cell shown
distance to the lowest polymorph of the same formula: 0.0043 eV per atom

***

17.
Density functional theory data (PBE-GGA) for crystalline ZrPtF at its relaxed geometry.

Cell lengths 3.0753, 3.0753, 12.3005 Å; angles 90.00, 90.00, 120.00 degrees
Space group P3m1 (No. 156)
One atom of each set of equivalent atoms:
Zr1 0.0000 0.0000 0.0000 (multiplicity 1)
Zr2 0.3333 0.6667 0.5370 (multiplicity 1)
Pt1 0.0000 0.0000 0.3619 (multiplicity 1)
Pt2 0.6667 0.3333 0.1737 (multiplicity 1)
F1 0.0000 0.0000 0.6537 (multiplicity 1)
F2 0.6667 0.3333 0.8836 (multiplicity 1)

Computed properties:
DOS at the Fermi energy: 4.34 states/eV/cell
formation energy from raw total energies: -161.7 kJ per mole of atoms
final energy: -42.98 eV for the cell shown
distance to the lowest polymorph of the same formula: 0.3791 eV per atom

***

18.
Density functional theory data (PBE-GGA) for crystalline ZrPtF at its relaxed geometry.

Cell lengths 13.541, 3.207, 4.582 Å; angles 90.00, 100.32, 90.00 degrees
Space group C2/m (No. 12)
One atom of each set of equivalent atoms:
Zr1 0.117 0.000 0.323 (multiplicity 4)
Pt1 0.058 0.500 0.781 (multiplicity 4)
F1 0.232 0.500 0.291 (multiplicity 4)

Computed properties:
DOS at the Fermi energy: 5.29 states/eV/cell
formation energy from raw total energies: -182.4 kJ per mole of atoms
final energy: -88.52 eV for the cell shown
distance to the lowest polymorph of the same formula: 0.1648 eV per atom

***

19.
Density functional theory data (PBE-GGA) for crystalline ZrPtF2 at its relaxed geometry.

Cell lengths 3.992, 3.992, 14.854 Å; angles 90.00, 90.00, 90.00 degrees
Space group I-42d (No. 122)
One atom of each set of equivalent atoms:
Zr1 0.000 0.000 0.000 (multiplicity 4)
Pt1 0.000 0.000 0.500 (multiplicity 4)
F1 0.138 0.250 0.125 (multiplicity 8)

Computed properties:
DOS at the Fermi energy: 6.10 states/eV/cell
formation energy from raw total energies: -157.5 kJ per mole of atoms
final energy: -99.45 eV for the cell shown
distance to the lowest polymorph of the same formula: 0.0000 eV per atom

***

20.
Density functional theory data (PBE-GGA) for crystalline ZrPtF at its relaxed geometry.

Cell lengths 3.267, 3.327, 6.144 Å; angles 89.61, 89.00, 90.00 degrees
Space group P1 (No. 1)
One atom of each set of equivalent atoms:
Zr1 0.000 0.000 0.000 (multiplicity 1)
Pt1 0.508 0.503 0.774 (multiplicity 1)
F1 0.492 0.997 0.234 (multiplicity 1)

Computed properties:
DOS at the Fermi energy: 1.32 states/eV/cell
formation energy from raw total energies: -154.7 kJ per mole of atoms
final energy: -21.27 eV for the cell shown
distance to the lowest polymorph of the same formula: 0.4517 eV per atom

***

21.
Density functional theory data (PBE-GGA) for crystalline ZrPtF at its relaxed geometry.

Cell lengths 11.695, 3.477, 5.828 Å; angles 90.00, 119.61, 90.00 degrees
Space group Cm (No. 8)
One atom of each set of equivalent atoms:
Zr1 0.000 0.000 0.000 (multiplicity 2)
Zr2 0.147 0.500 0.642 (multiplicity 2)
Pt1 0.201 0.500 0.250 (multiplicity 2)
Pt2 0.302 0.000 0.002 (multiplicity 2)
F1 0.020 0.000 0.414 (multiplicity 2)
F2 0.472 0.000 0.697 (multiplicity 2)

Computed properties:
DOS at the Fermi energy: 5.29 states/eV/cell
formation energy from raw total energies: -164.4 kJ per mole of atoms
final energy: -86.29 eV for the cell shown
distance to the lowest polymorph of the same formula: 0.3507 eV per atom

***

22.
Density functional theory data (PBE-GGA) for crystalline ZrPtF2 at its relaxed geometry.

Cell lengths 6.043, 6.043, 6.043 Å; angles 90.00, 90.00, 90.00 degrees
Space group Fm-3m (No. 225)
One atom of each set of equivalent atoms:
Zr1 0.000 0.000 0.000 (multiplicity 4)
Pt1 0.000 0.000 0.500 (multiplicity 4)
F1 0.250 0.250 0.250 (multiplicity 8)

Computed properties:
DOS at the Fermi energy: 0.04 states/eV/cell
formation energy from raw total energies: -119.7 kJ per mole of atoms
final energy: -93.17 eV for the cell shown
distance to the lowest polymorph of the same formula: 0.3924 eV per atom

***

23.
Density functional theory data (PBE-GGA) for crystalline ZrPtF at its relaxed geometry.

Cell lengths 9.165, 3.463, 7.619 Å; angles 90.00, 120.27, 90.00 degrees
Space group C2/m (No. 12)
One atom of each set of equivalent atoms:
Zr1 0.169 0.000 0.238 (multiplicity 4)
Pt1 0.111 0.500 0.924 (multiplicity 4)
F1 0.181 0.000 0.553 (multiplicity 4)

Computed properties:
DOS at the Fermi energy: 4.31 states/eV/cell
formation energy from raw total energies: -189.0 kJ per mole of atoms
final energy: -89.35 eV for the cell shown
distance to the lowest polymorph of the same formula: 0.0957 eV per atom

***

24.
Density functional theory data (PBE-GGA) for crystalline ZrPtF at its relaxed geometry.

Cell lengths 3.460, 3.460, 15.143 Å; angles 90.00, 90.00, 90.00 degrees
Space group I4/mmm (No. 139)
One atom of each set of equivalent atoms:
Zr1 0.000 0.000 0.110 (multiplicity 4)
Pt1 0.000 0.000 0.303 (multiplicity 4)
F1 0.000 0.500 0.000 (multiplicity 4)

Computed properties:
DOS at the Fermi energy: 7.98 states/eV/cell
formation energy from raw total energies: -190.7 kJ per mole of atoms
final energy: -89.56 eV for the cell shown
distance to the lowest polymorph of the same formula: 0.0787 eV per atom